4
Lattice="4.0610 0.0000 0.0000 0.0000 3.3569 0.0000 -1.9214 0.0000 10.7671" Properties=species:S:1:pos:R:3 comment="PBE K2ZrMn, relaxed" formation_enthalpy_0k_ev_per_atom=0.57 m_tot_mub_per_cell=1.789 total_energy_ev_per_atom=-4.40 polymorph_energy_kj_per_mol_fu=3 pbc="T T T"
K 0.0000 0.0000 0.0000
K -0.0053 1.6784 6.5222
Zr 2.0374 1.6784 3.2282
Mn 0.0073 0.0000 3.3281